1.
First-principles (GGA-PBE) data for crystalline In7Bi5Pb at its relaxed geometry, as listed in the Alexandria database.

Results
**Symmetry**: Cm, No. 8
**Density of states at the Fermi level**: 6.23 states/eV/cell
**Calculated volume**: 398.6 Å³ per cell
**DFT formation energy**: 44 meV/atom
**Total moment**: 0.00 μB per cell
**Total energy**: -41.709 eV per cell

Unit cell a=4.9964 b=9.2574 c=9.2574 alpha=87.31 beta=74.80 gamma=74.80
With the nearest neighbours (Å) after each atom.
Fractional coordinates of all 13 atoms:
In (0.0726, 0.3722, 0.6285)  7 In 3.24-3.40, 2 Bi 3.31-3.40
Bi (0.2791, 0.6091, 0.9919)  4 In 3.24-3.52, 4 Bi 3.25-3.51, 1 Pb 3.52
In (0.3598, 0.2125, 0.2125)  2 In 3.19-3.22, 4 Bi 3.46-3.51, 1 Pb 3.56
In (0.0726, 0.6285, 0.3722)  7 In 3.24-3.40, 2 Bi 3.31-3.40
Bi (0.8914, 0.3757, 0.9993)  2 Bi 3.25-3.27, 6 In 3.31-3.51, 1 Pb 3.33
In (0.6992, 0.3731, 0.3731)  7 In 3.19-3.39, 2 Bi 3.34
Bi (0.7679, 0.8156, 0.8156)  4 In 3.40-3.48, 2 Pb 3.40-3.45, 4 Bi 3.49-3.51
In (0.4450, 0.6298, 0.6298)  5 In 3.21-3.40, 4 Bi 3.24-3.42
Bi (0.2791, 0.9919, 0.6091)  4 In 3.24-3.52, 4 Bi 3.25-3.51, 1 Pb 3.52
Bi (0.8914, 0.9993, 0.3757)  2 Bi 3.25-3.27, 6 In 3.31-3.51, 1 Pb 3.33
In (0.5817, 0.7861, 0.2033)  2 In 3.24-3.27, 5 Bi 3.46-3.52
In (0.5817, 0.2033, 0.7861)  2 In 3.24-3.27, 5 Bi 3.46-3.52
Pb (0.0784, 0.0031, 0.0031)  6 Bi 3.33-3.52, 6 In 3.56-3.67



2.
First-principles (GGA-PBE) data for crystalline SbSBrN2 at its relaxed geometry, as listed in the Alexandria database.

Results
**Uncorrected formation energy**: 1.372 eV per atom
**Symmetry**: P4/mmm, No. 123
**Density of states at the Fermi level**: 3.67 states/eV/cell
**Calculated volume**: 94.6 Å³ per cell
**Distance to the lowest polymorph of the same formula**: 0.0 meV per atom
**Total moment**: 0.89 μB per cell
**Total energy**: -19.715 eV per cell

Unit cell a=3.9582 b=3.9582 c=6.0376 alpha=90.00 beta=90.00 gamma=90.00
With the nearest neighbours (Å) after each atom.
Fractional coordinates of all 5 atoms:
Sb (0.0000, 0.0000, 0.0000)  4 N 1.98
N (0.0000, 0.5000, 0.0000)  2 Sb 1.98
Br (0.5000, 0.5000, 0.5000)  4 S 2.80
S (0.0000, 0.0000, 0.5000)  4 Br 2.80, 2 Sb 3.02
N (0.5000, 0.0000, 0.0000)  2 Sb 1.98



3.
First-principles (GGA-PBE) data for crystalline Pr3PSeS at its relaxed geometry, as listed in the Alexandria database.

Results
**Uncorrected formation energy**: -1.568 eV per atom
**Symmetry**: P2_1/m, No. 11
**Density of states at the Fermi level**: 7.09 states/eV/cell
**Calculated volume**: 411.8 Å³ per cell
**Total moment**: 1.22 μB per cell
**Total energy**: -73.540 eV per cell

Unit cell a=4.2168 b=8.4188 c=12.5036 alpha=111.90 beta=90.00 gamma=90.00
With the nearest neighbours (Å) after each atom.
Fractional coordinates of all 12 atoms:
Pr (0.2500, 0.0671, 0.8699)  1 S 2.92, 2 P 2.93, 3 Se 3.04-3.09
Pr (0.7500, 0.1624, 0.6270)  3 S 2.78-2.86, 1 P 2.86
Pr (0.2500, 0.8376, 0.3730)  3 S 2.78-2.86, 1 P 2.86
Pr (0.2500, 0.5591, 0.8821)  3 P 2.84-2.94, 2 Se 3.01
Pr (0.7500, 0.9329, 0.1301)  1 S 2.92, 2 P 2.93, 3 Se 3.04-3.09
P (0.7500, 0.3112, 0.8735)  6 Pr 2.84-2.94
S (0.2500, 0.9421, 0.6182)  4 Pr 2.78-2.92
Se (0.7500, 0.8036, 0.8643)  5 Pr 3.01-3.09
P (0.2500, 0.6888, 0.1265)  6 Pr 2.84-2.94
S (0.7500, 0.0579, 0.3818)  4 Pr 2.78-2.92
Pr (0.7500, 0.4409, 0.1179)  3 P 2.84-2.94, 2 Se 3.01
Se (0.2500, 0.1964, 0.1357)  5 Pr 3.01-3.09